1.
Here is NbCoAsSe2 after structural relaxation from Alexandria. Energies are from PBE.

```
NbCoAsSe2
1.0
4.9932 0.0000 0.0000
0.0000 4.9932 0.0000
0.0000 0.0000 5.0708
Nb Co As Se
1 1 1 2
direct
0.0000 0.0000 0.0000 Nb
0.5000 0.5000 0.5000 Co
0.0000 0.0000 0.5000 As
0.0000 0.5000 0.0000 Se
0.5000 0.0000 0.0000 Se
```

Total energy   -25.63 eV/cell
Excess energy over the best structure of this formula in the dataset   138 meV per atom

2.
Here is ThNbCo2As2 after structural relaxation from Alexandria. Energies are from PBE.

```
ThNbCo2As2
1.0
4.1084 0.0000 0.0000
-2.0542 3.5580 0.0000
0.0000 0.0000 6.9436
Th Nb Co As
1 1 2 2
direct
0.0000 0.0000 0.0000 Th
0.0000 0.0000 0.5000 Nb
0.3333 0.6667 0.6712 Co
0.6667 0.3333 0.3288 Co
0.3333 0.6667 0.2766 As
0.6667 0.3333 0.7234 As
```

Total energy   -44.92 eV/cell
Energy relative to the elements   -654 meV/atom

3.
Here is TiNbCo2As after structural relaxation from Alexandria. Energies are from PBE.

```
TiNbCo2As
1.0
4.2286 0.0000 0.0000
0.0000 4.2286 0.0000
0.0000 0.0000 4.6494
Ti Nb Co As
1 1 2 1
direct
0.0000 0.0000 0.0000 Ti
0.5000 0.5000 0.0000 Nb
0.0000 0.5000 0.5000 Co
0.5000 0.0000 0.5000 Co
0.0000 0.0000 0.5000 As
```

Total energy   -34.37 eV/cell
Energy relative to the elements   491 meV/atom

4.
Here is NdCo3As3 after structural relaxation from Alexandria. Energies are from PBE.

```
NdCo3As3
1.0
3.3337 1.9247 6.7551
-3.3337 1.9247 6.7551
0.0000 -3.8494 6.7551
Nd Co As
2 6 6
direct
0.1670 0.1670 0.1670 Nd
0.8330 0.8330 0.8330 Nd
0.0231 0.3777 0.7235 Co
0.2765 0.9769 0.6222 Co
0.3777 0.7235 0.0231 Co
0.6223 0.2765 0.9769 Co
0.7235 0.0231 0.3777 Co
0.9769 0.6222 0.2765 Co
0.0991 0.7150 0.4029 As
0.2850 0.5971 0.9009 As
0.4029 0.0991 0.7150 As
0.5971 0.9009 0.2850 As
0.7150 0.4029 0.0991 As
0.9009 0.2850 0.5971 As
```

Total energy   -86.56 eV/cell
Energy relative to the elements   -464 meV/atom
Excess energy over the best structure of this formula in the dataset   0 meV per atom

Please write out number 3 again, unchanged.
Here is TiNbCo2As after structural relaxation from Alexandria. Energies are from PBE.

```
TiNbCo2As
1.0
4.2286 0.0000 0.0000
0.0000 4.2286 0.0000
0.0000 0.0000 4.6494
Ti Nb Co As
1 1 2 1
direct
0.0000 0.0000 0.0000 Ti
0.5000 0.5000 0.0000 Nb
0.0000 0.5000 0.5000 Co
0.5000 0.0000 0.5000 Co
0.0000 0.0000 0.5000 As
```

Total energy   -34.37 eV/cell
Energy relative to the elements   491 meV/atom

What did the first record say?
Here is NbCoAsSe2 after structural relaxation from Alexandria. Energies are from PBE.

```
NbCoAsSe2
1.0
4.9932 0.0000 0.0000
0.0000 4.9932 0.0000
0.0000 0.0000 5.0708
Nb Co As Se
1 1 1 2
direct
0.0000 0.0000 0.0000 Nb
0.5000 0.5000 0.5000 Co
0.0000 0.0000 0.5000 As
0.0000 0.5000 0.0000 Se
0.5000 0.0000 0.0000 Se
```

Total energy   -25.63 eV/cell
Excess energy over the best structure of this formula in the dataset   138 meV per atom

> Which value of total energy does entry 1 give?

-25.63 eV/cell

> Which formula does entry 3 have?

TiNbCo2As